Entry 1:
DFT (PBE) results for a geometry-optimized CeYIrRu structure.

Summary:
Crystal system: tetragonal
ΔE_f (eV/atom): -0.55
Energy relative to the lowest polymorph listed for this composition (eV per atom): 0.000

Structure (POSCAR):
```
CeYIrRu
1.0
3.498 0.000 0.000
0.000 3.498 0.000
0.000 0.000 6.730
Ce Y Ir Ru
1 1 1 1
direct
0.000 0.000 0.000
0.000 0.000 0.499
0.500 0.500 0.239
0.500 0.500 0.767
```

Entry 2:
DFT (PBE) results for a geometry-optimized CeZnIrRu structure.

Summary:
Crystal system: cubic
ΔE_f (eV/atom): -0.31

Structure (POSCAR):
```
CeZnIrRu
1.0
6.523 0.000 0.000
0.000 6.523 0.000
0.000 0.000 6.523
Ce Zn Ir Ru
4 4 4 4
direct
0.000 0.000 0.000
0.000 0.500 0.500
0.500 0.000 0.500
0.500 0.500 0.000
0.000 0.000 0.500
0.000 0.500 0.000
0.500 0.000 0.000
0.500 0.500 0.500
0.250 0.250 0.750
0.250 0.750 0.250
0.750 0.250 0.250
0.750 0.750 0.750
0.250 0.250 0.250
0.250 0.750 0.750
0.750 0.250 0.750
0.750 0.750 0.250
```

Entry 3:
DFT (PBE) results for a geometry-optimized CeZrIrRu structure.

Summary:
Crystal system: cubic
ΔE_f (eV/atom): -0.50

Structure (POSCAR):
```
CeZrIrRu
1.0
6.762 0.000 0.000
0.000 6.762 0.000
0.000 0.000 6.762
Ce Zr Ir Ru
4 4 4 4
direct
0.000 0.000 0.000
0.000 0.500 0.500
0.500 0.000 0.500
0.500 0.500 0.000
0.000 0.000 0.500
0.000 0.500 0.000
0.500 0.000 0.000
0.500 0.500 0.500
0.250 0.250 0.250
0.250 0.750 0.750
0.750 0.250 0.750
0.750 0.750 0.250
0.250 0.250 0.750
0.250 0.750 0.250
0.750 0.250 0.250
0.750 0.750 0.750
```

Entry 4:
DFT (PBE) results for a geometry-optimized CeIrS2 structure.

Summary:
Crystal system: trigonal
ΔE_f (raw) (eV per atom): -0.398

Structure (POSCAR):
```
CeIrS2
1.0
3.660 0.000 0.000
-1.830 3.170 0.000
0.000 0.000 23.714
Ce Ir S
3 3 6
direct
0.000 0.000 0.000
0.333 0.667 0.667
0.667 0.333 0.333
0.000 0.000 0.500
0.333 0.667 0.167
0.667 0.333 0.833
0.000 0.000 0.119
0.000 0.000 0.881
0.333 0.667 0.548
0.333 0.667 0.785
0.667 0.333 0.215
0.667 0.333 0.452
```

Entry 5:
DFT (PBE) results for a geometry-optimized CeIrS structure.

Summary:
Crystal system: trigonal
ΔE_f (raw) (eV per atom): -1.000

Structure (POSCAR):
```
CeIrS
1.0
2.258 1.303 8.628
-2.258 1.303 8.628
0.000 -2.607 8.628
Ce Ir S
2 2 2
direct
0.240 0.240 0.240
0.760 0.760 0.760
0.334 0.334 0.334
0.666 0.666 0.666
0.126 0.126 0.126
0.874 0.874 0.874
```

Entry 6:
DFT (PBE) results for a geometry-optimized CeIrS3 structure.

Summary:
Crystal system: monoclinic
ΔE_f (raw) (eV per atom): -1.128

Structure (POSCAR):
```
CeIrS3
1.0
6.676 0.000 0.000
0.000 3.799 0.000
-0.605 0.000 7.813
Ce Ir S
2 2 6
direct
0.137 0.250 0.296
0.863 0.750 0.704
0.341 0.750 0.848
0.659 0.250 0.152
0.130 0.250 0.899
0.234 0.750 0.548
0.432 0.750 0.147
0.568 0.250 0.853
0.766 0.250 0.452
0.870 0.750 0.101
```

Entry 7:
DFT (PBE) results for a geometry-optimized CeThIrS structure.

Summary:
Crystal system: trigonal
ΔE_f (raw) (eV per atom): -1.245

Structure (POSCAR):
```
CeThIrS
1.0
3.990 0.000 0.000
-1.995 3.456 0.000
0.000 0.000 21.912
Ce Th Ir S
3 3 3 3
direct
0.000 0.000 0.000
0.333 0.667 0.667
0.667 0.333 0.333
0.000 0.000 0.181
0.333 0.667 0.848
0.667 0.333 0.514
0.000 0.000 0.592
0.333 0.667 0.259
0.667 0.333 0.925
0.000 0.000 0.421
0.333 0.667 0.088
0.667 0.333 0.755
```

Entry 8:
DFT (PBE) results for a geometry-optimized Ce5Sb4Ir structure.

Summary:
Crystal system: tetragonal
ΔE_f (raw) (eV per atom): -0.902

Structure (POSCAR):
```
Ce5Sb4Ir
1.0
-4.909 4.909 3.146
4.909 -4.909 3.146
4.909 4.909 -3.146
Ce Sb Ir
5 4 1
direct
0.000 0.000 0.000
0.229 0.595 0.824
0.405 0.229 0.634
0.595 0.771 0.366
0.771 0.405 0.176
0.089 0.307 0.396
0.307 0.911 0.219
0.693 0.089 0.781
0.911 0.693 0.604
0.500 0.500 0.000
```

Entry 9:
DFT (PBE) results for a geometry-optimized Ce5Sb5Ir structure.

Summary:
Crystal system: monoclinic
ΔE_f (raw) (eV per atom): -0.695

Structure (POSCAR):
```
Ce5Sb5Ir
1.0
6.987 -3.108 0.000
6.987 3.108 0.000
-2.872 0.000 8.163
Ce Sb Ir
5 5 1
direct
0.000 0.000 0.000
0.346 0.346 0.690
0.349 0.349 0.152
0.651 0.651 0.848
0.654 0.654 0.310
0.161 0.161 0.819
0.185 0.185 0.334
0.500 0.500 0.500
0.815 0.815 0.666
0.839 0.839 0.181
0.500 0.500 0.000
```

Entry 10:
DFT (PBE) results for a geometry-optimized Ce4Sb8Ir3 structure.

Summary:
Crystal system: tetragonal
ΔE_f (raw) (eV per atom): -0.706

Structure (POSCAR):
```
Ce4Sb8Ir3
1.0
4.416 0.000 0.000
0.000 4.416 0.000
0.000 0.000 19.201
Ce Sb Ir
4 8 3
direct
0.000 0.500 0.113
0.000 0.500 0.623
0.500 0.000 0.377
0.500 0.000 0.887
0.000 0.000 0.245
0.000 0.000 0.755
0.000 0.500 0.416
0.000 0.500 0.926
0.500 0.000 0.074
0.500 0.000 0.584
0.500 0.500 0.245
0.500 0.500 0.755
0.000 0.000 0.000
0.000 0.000 0.500
0.500 0.500 0.500
```

Entry 11:
DFT (PBE) results for a geometry-optimized Ce4SbIr structure.

Summary:
Crystal system: monoclinic
ΔE_f (raw) (eV per atom): -0.585
Energy relative to the lowest polymorph listed for this composition (eV per atom): 0.000

Structure (POSCAR):
```
Ce4SbIr
1.0
4.031 -7.083 0.000
4.031 7.083 0.000
-2.048 0.000 5.432
Ce Sb Ir
8 2 2
direct
0.103 0.724 0.916
0.221 0.376 0.660
0.276 0.897 0.584
0.376 0.221 0.160
0.624 0.779 0.840
0.724 0.103 0.416
0.779 0.624 0.340
0.897 0.276 0.084
0.376 0.624 0.250
0.624 0.376 0.750
0.013 0.987 0.250
0.987 0.013 0.750
```

Entry 12:
DFT (PBE) results for a geometry-optimized Ce7SbIr2 structure.

Summary:
Crystal system: orthorhombic
ΔE_f (raw) (eV per atom): -0.301

Structure (POSCAR):
```
Ce7SbIr2
1.0
4.677 -6.478 0.000
4.677 6.478 0.000
0.000 0.000 5.193
Ce Sb Ir
7 1 2
direct
0.000 0.000 0.000
0.203 0.418 0.000
0.232 0.768 0.500
0.418 0.203 0.000
0.582 0.797 0.000
0.768 0.232 0.500
0.797 0.582 0.000
0.500 0.500 0.500
0.207 0.793 0.000
0.793 0.207 0.000
```